A plane-wave DFT calculation with PBE was carried out for CeNbGe2Rh after structural relaxation.

```
CeNbGe2Rh
1.0
-4.1215 0.5145 -0.0889
-0.5132 -3.8621 1.4423
2.4475 3.6283 4.6032
Ce Ge Nb Rh
1 2 1 1
direct
0.0000 0.0000 0.0000 Ce
0.3871 0.3871 0.7743 Ge
0.6129 0.6129 0.2257 Ge
0.7500 0.2500 0.5000 Nb
0.2500 0.7500 0.5000 Rh
```

Output
For the magnetization, the calculation gives 0.78 μB/cell. The symmetry is I-4m2, No. 119. The calculation puts the mass density at 8.22 g/cm³. As for the formation energy: -620 meV per atom. Its energy is -7.138 eV per atom.